# TlMo2Pb

A relaxed structure of TlMo2Pb (PBE-GGA, Alexandria via LeMat-Bulk).

a = 9.3569 Å, b = 9.3569 Å, c = 9.3569 Å
α = 19.45°, β = 19.45°, γ = 19.45°
Element x y z (fractional)
1 Tl 0.0000 0.0000 0.0000
2 Mo 0.2495 0.2495 0.2495
3 Mo 0.7505 0.7505 0.7505
4 Pb 0.5000 0.5000 0.5000

Calculated values
Energy relative to the lowest polymorph listed for this composition in meV/atom: 471.6
V in Å³/cell: 79.4
D(E_F) in states/eV/cell: 5.47
Calculated formation energy in meV/atom: 882
Space-group type: R-3m, No. 166

# Pa2Hg

A relaxed structure of Pa2Hg (PBE-GGA, Alexandria via LeMat-Bulk).

a = 3.1839 Å, b = 3.1839 Å, c = 8.5637 Å
α = 98.97°, β = 98.97°, γ = 60.34°
Element x y z (fractional)
1 Pa 0.2406 0.2406 0.1702
2 Pa 0.7594 0.7594 0.8298
3 Hg 0.0000 0.0000 0.5000

Calculated values
Energy relative to the lowest polymorph listed for this composition in meV/atom: 0.0
V in Å³/cell: 74.2
D(E_F) in states/eV/cell: 5.42
Calculated formation energy in meV/atom: 56
Space-group type: C2/m, No. 12

# Pm2Ni2Au

A relaxed structure of Pm2Ni2Au (PBE-GGA, Alexandria via LeMat-Bulk).

a = 7.3630 Å, b = 7.3630 Å, c = 3.7529 Å
α = 90.00°, β = 90.00°, γ = 90.00°
Element x y z (fractional)
1 Pm 0.1801 0.3199 0.0000
2 Pm 0.3199 0.8199 0.0000
3 Pm 0.6801 0.1801 0.0000
4 Pm 0.8199 0.6801 0.0000
5 Ni 0.1173 0.6173 0.5000
6 Ni 0.3827 0.1173 0.5000
7 Ni 0.6173 0.8827 0.5000
8 Ni 0.8827 0.3827 0.5000
9 Au 0.0000 0.0000 0.5000
10 Au 0.5000 0.5000 0.5000

Calculated values
Energy relative to the lowest polymorph listed for this composition in meV/atom: 38.5
V in Å³/cell: 203.5
D(E_F) in states/eV/cell: 7.62
Calculated formation energy in meV/atom: -504
Space-group type: P4/mbm, No. 127